[1]
The following is a DFT calculation (GGA-PBE) of a geometry-optimized Dy5In4Pt2 structure.

It has space group Pbam (No. 55), with a = 8.098 Å, b = 18.250 Å, c = 3.653 Å, α = 90.00°, β = 90.00° and γ = 90.00°. The inequivalent atoms are Dy at (0.000, 0.000, 0.000), Dy at (0.115, 0.415, 0.000), Dy at (0.244, 0.220, 0.000), In at (0.075, 0.852, 0.500), In at (0.210, 0.567, 0.500) and Pt at (0.027, 0.304, 0.500).

The calculated density comes out at 10.222 g/cm³. The value obtained for the size of the total moment is 0.00 μB/cell. For the formation energy, the calculation gives -0.8245 eV per atom.

=====

[2]
The following is a DFT calculation (GGA-PBE) of a geometry-optimized DyInPt2 structure.

It has space group P6_3/mmc (No. 194), with a = 4.7991 Å, b = 4.7991 Å, c = 8.3187 Å, α = 90.00°, β = 90.00° and γ = 120.00°. The inequivalent atoms are Dy at (0.0000, 0.0000, 0.0000), In at (0.3333, 0.6667, 0.2500) and Pt at (0.3333, 0.6667, 0.5899).

The calculated density comes out at 13.361 g/cm³. The value obtained for the size of the total moment is 0.00 μB/cell. For the formation energy, the calculation gives -0.8383 eV per atom.